Entry 1:
! CaSc3Rh4 PBE relaxed; values from VASP
&SYSTEM
  ibrav = 0, nat = 8, ntyp = 3
/
ATOMIC_SPECIES
Sc 44.96 Sc.upf
Ca 40.08 Ca.upf
Rh 102.91 Rh.upf
CELL_PARAMETERS angstrom
4.4172 0.0000 1.3039
2.0161 3.9302 1.3039
0.0210 0.0128 8.0629
ATOMIC_POSITIONS angstrom
Sc 1.6071 0.9818 2.6895
Sc 4.8472 2.9612 7.9811
Sc 3.2271 1.9715 5.3353
Ca 0.0000 0.0000 0.0000
Rh 5.6127 3.4289 5.3879
Rh 2.4641 1.5054 7.9202
Rh 0.8416 0.5142 5.2828
Rh 3.9902 2.4377 2.7505
! N(E_F): 0.336 states/eV per atom
! Energy relative to the elements: -6.73 eV/f.u.
! Total energy: -7.14 eV per atom

---

Entry 2:
! NaYHg6 PBE relaxed; values from VASP
&SYSTEM
  ibrav = 0, nat = 8, ntyp = 3
/
ATOMIC_SPECIES
Na 22.99 Na.upf
Y 88.91 Y.upf
Hg 200.59 Hg.upf
CELL_PARAMETERS angstrom
5.1672 0.0000 0.0000
0.0000 6.5932 -0.2115
0.0000 -3.1087 5.8181
ATOMIC_POSITIONS angstrom
Na 2.5836 0.9274 3.3097
Y 0.0000 -2.2956 5.3128
Hg 0.0000 -0.7491 2.4020
Hg 0.0000 0.9990 5.2148
Hg 0.0000 2.5491 2.3018
Hg 2.5836 2.5007 0.4064
Hg 2.5836 4.2272 3.1845
Hg 2.5836 5.7760 0.2964
! N(E_F): 0.455 states/eV per atom
! Energy relative to the elements: -2.13 eV/f.u.
! Total energy: -1.47 eV per atom

---

Entry 3:
! Ac3Nd2Rh4 PBE relaxed; values from VASP
&SYSTEM
  ibrav = 0, nat = 9, ntyp = 3
/
ATOMIC_SPECIES
Ac 227.00 Ac.upf
Nd 144.24 Nd.upf
Rh 102.91 Rh.upf
CELL_PARAMETERS angstrom
4.2497 0.0000 0.0031
-2.1249 3.6803 -0.0031
-0.0062 0.0036 16.8279
ATOMIC_POSITIONS angstrom
Ac 2.1197 1.2297 6.5639
Ac 0.0000 0.0000 0.0000
Ac -0.0011 2.4541 10.2640
Nd 2.1216 1.2286 13.5188
Nd -0.0030 2.4552 3.3091
Rh -0.0045 2.4561 15.0573
Rh 4.2453 0.0025 5.0415
Rh -2.1267 3.6813 11.7864
Rh 2.1231 1.2278 1.7706
! N(E_F): 0.521 states/eV per atom
! Energy relative to the elements: -5.05 eV/f.u.
! Total energy: -6.26 eV per atom

---

Entry 4:
! CsP2OsS PBE relaxed; values from VASP
&SYSTEM
  ibrav = 0, nat = 5, ntyp = 4
/
ATOMIC_SPECIES
Cs 132.91 Cs.upf
P 30.97 P.upf
S 32.06 S.upf
Os 190.23 Os.upf
CELL_PARAMETERS angstrom
4.5945 0.0000 0.0000
0.0000 4.5945 0.0000
0.0000 0.0000 5.5355
ATOMIC_POSITIONS angstrom
Cs 2.2973 2.2973 2.7678
P 0.0000 2.2973 0.0000
P 2.2973 0.0000 0.0000
S 0.0000 0.0000 2.7678
Os 0.0000 0.0000 0.0000
! N(E_F): 0.921 states/eV per atom
! Total energy: -5.19 eV per atom
! Distance to the lowest polymorph of the same formula: 0.000 eV/atom
! Formation energy (no corrections): 0.219 eV per atom

---

Entry 5:
! GaAgPb PBE relaxed; values from VASP
&SYSTEM
  ibrav = 0, nat = 6, ntyp = 3
/
ATOMIC_SPECIES
Pb 207.20 Pb.upf
Ga 69.72 Ga.upf
Ag 107.87 Ag.upf
CELL_PARAMETERS angstrom
3.5094 -0.0919 0.0001
0.2447 3.4997 -0.0001
0.0002 0.0005 10.9718
ATOMIC_POSITIONS angstrom
Pb 0.2947 0.2530 5.3619
Pb 2.1715 1.9570 7.9819
Ga 0.2967 0.2550 10.0022
Ga 0.2975 0.2555 1.9803
Ag 2.1740 1.9588 0.4452
Ag 2.1735 1.9583 3.4055
! N(E_F): 0.265 states/eV per atom
! Energy relative to the elements: 0.15 eV/f.u.
! Total energy: -3.15 eV per atom

---

Entry 6:
! PrDy5Cd4 PBE relaxed; values from VASP
&SYSTEM
  ibrav = 0, nat = 10, ntyp = 3
/
ATOMIC_SPECIES
Pr 140.91 Pr.upf
Dy 162.50 Dy.upf
Cd 112.41 Cd.upf
CELL_PARAMETERS angstrom
3.7130 0.0000 0.0000
0.0000 3.7130 0.0000
0.0000 0.0000 20.2037
ATOMIC_POSITIONS angstrom
Pr 0.0000 0.0000 0.0000
Dy 1.8565 1.8565 2.5203
Dy 1.8565 1.8565 6.3251
Dy 1.8565 1.8565 10.1018
Dy 1.8565 1.8565 13.8786
Dy 1.8565 1.8565 17.6834
Cd 0.0000 0.0000 4.4161
Cd 0.0000 0.0000 8.1946
Cd 0.0000 0.0000 12.0091
Cd 0.0000 0.0000 15.7876
! N(E_F): 1.244 states/eV per atom
! Energy relative to the elements: -2.48 eV/f.u.
! Total energy: -3.39 eV per atom